Computed, not measured: Ac2PrCd after structural relaxation at the PBE-GGA level of DFT.

Lattice parameters (Å, degrees): 5.3812 5.3812 5.0058 90.00 90.00 90.00
With the nearest neighbours (Å) after each atom.
Space group P4/mmm (No. 123)
Inequivalent atoms, fractional coordinates:
1 Ac 0.0000 0.5000 0.0000 (multiplicity 2)  4 Cd 3.67, 4 Pr 3.67, 4 Ac 3.81
2 Pr 0.0000 0.0000 0.5000 (multiplicity 1)  8 Ac 3.67, 4 Cd 3.81
3 Cd 0.5000 0.5000 0.5000 (multiplicity 1)  8 Ac 3.67, 4 Pr 3.81

## Properties
Magnetic moment in μB per formula unit: 0.000
Uncorrected energy in eV per atom: -3.537
Energy of formation in eV/atom: -0.06
Distance to the lowest polymorph of the same formula in meV/atom: 79